The following is a DFT calculation (PBEsol) of crystalline FeSbSe2 at its relaxed geometry.

Calculated values
formation energy (no corrections): 0.36 eV per atom

Cell lengths 4.804, 4.804, 3.378 Å; angles 90.00, 90.00, 90.00 degrees
Fractional positions:
1 Fe 0.000 0.000 0.000
2 Sb 0.500 0.500 0.000
3 Se 0.000 0.500 0.500
4 Se 0.500 0.000 0.500